The following is a DFT calculation (PBE-GGA) of a relaxed structure of PrY3Tm2Te6.

It has space group C2/m (No. 12), with a = 19.008 Å, b = 4.332 Å, c = 8.822 Å, α = 90.00°, β = 101.96° and γ = 90.00°. Symmetry generates all atoms from Pr at (0.000, 0.000, 0.000), Y at (0.000, 0.000, 0.500), Y at (0.157, 0.500, 0.836), Tm at (0.163, 0.500, 0.332), Te at (0.004, 0.500, 0.262), Te at (0.170, 0.000, 0.584) and Te at (0.174, 0.000, 0.094).

As for the total energy: -5.62 eV/atom. The calculation puts the density at 7.1 g/cm3. The calculation puts the formation energy (no corrections) at -15.432 eV per formula unit. The value obtained for the volume is 710.7 Å³/cell.